Entry 1:
U2BeSi4Ni3 after structural relaxation, computed with PBE-GGA.

Unit cell a=3.9581 b=3.9581 c=9.3636 alpha=90.00 beta=90.00 gamma=90.00
Sites, in units of the cell vectors:
U  0.0000  0.5000  0.2465
U  0.5000  0.0000  0.7535
Be  0.5000  0.5000  0.0000
Si  0.0000  0.0000  0.5000
Si  0.0000  0.5000  0.8686
Si  0.5000  0.0000  0.1314
Si  0.5000  0.5000  0.5000
Ni  0.0000  0.0000  0.0000
Ni  0.0000  0.5000  0.6246
Ni  0.5000  0.0000  0.3754

## Properties
**Space-group type**: P-4m2 (115)
**Raw formation energy**: -0.5225 eV/atom
**Size of the total moment**: 3.47 μB per formula unit
**Fermi-level density of states**: 17.7 states/eV/f.u.

=====

Entry 2:
Be2CuTc after structural relaxation, computed with PBE-GGA.

Unit cell a=4.1623 b=4.1623 c=4.6426 alpha=101.74 beta=101.74 gamma=35.10
Sites, in units of the cell vectors:
Be  0.2412  0.2412  0.2689
Be  0.7588  0.7588  0.7311
Cu  0.5000  0.5000  0.0000
Tc  0.0000  0.0000  0.5000

## Properties
**Space-group type**: C2/m (12)
**Size of the total moment**: 0.00 μB per formula unit
**Fermi-level density of states**: 1.1 states/eV/f.u.
**E_form**: 91 meV per atom

=====

Entry 3:
LiLuIrPt after structural relaxation, computed with PBE-GGA.

Unit cell a=4.5407 b=4.5407 c=4.5407 alpha=60.00 beta=60.00 gamma=60.00
Sites, in units of the cell vectors:
Li  0.0000  0.0000  0.0000
Lu  0.5000  0.5000  0.5000
Ir  0.7500  0.7500  0.7500
Pt  0.2500  0.2500  0.2500

## Properties
**Space-group type**: F-43m (216)
**Size of the total moment**: 0.00 μB per formula unit
**Fermi-level density of states**: 1.7 states/eV/f.u.
**E_form**: -695 meV per atom

=====

Entry 4:
ZrTiN2F after structural relaxation, computed with PBE-GGA.

Unit cell a=4.2567 b=4.2567 c=3.9963 alpha=90.00 beta=90.00 gamma=90.00
Sites, in units of the cell vectors:
Zr  0.0000  0.0000  0.0000
Ti  0.5000  0.5000  0.5000
N  0.0000  0.5000  0.0000
N  0.5000  0.0000  0.0000
F  0.0000  0.0000  0.5000

## Properties
**Space-group type**: P4/mmm (123)
**Raw formation energy**: -0.6919 eV/atom
**Size of the total moment**: 1.11 μB per formula unit
**Fermi-level density of states**: 4.6 states/eV/f.u.

=====

Entry 5:
Li12Au3F5 after structural relaxation, computed with PBE-GGA.

Unit cell a=11.5546 b=11.5546 c=11.5546 alpha=109.47 beta=109.47 gamma=109.47
Sites, in units of the cell vectors:
Li  0.0129  0.1958  0.1132
Li  0.0129  0.3171  0.8997
Li  0.0826  0.6958  0.6829
Li  0.0826  0.8868  0.3997
Li  0.1003  0.6132  0.4174
Li  0.1003  0.9871  0.6829
Li  0.1132  0.0129  0.1958
Li  0.1132  0.6003  0.9174
Li  0.1829  0.1958  0.5826
Li  0.1829  0.4871  0.6003
Li  0.1958  0.1132  0.0129
Li  0.1958  0.5826  0.1829
Li  0.3042  0.3171  0.9174
Li  0.3042  0.4871  0.3868
Li  0.3171  0.8997  0.0129
Li  0.3171  0.9174  0.3042
Li  0.3868  0.3042  0.4871
Li  0.3868  0.5826  0.8997
Li  0.3997  0.0826  0.8868
Li  0.3997  0.8171  0.5129
Li  0.4174  0.1003  0.6132
Li  0.4174  0.8171  0.8042
Li  0.4871  0.3868  0.3042
Li  0.4871  0.6003  0.1829
Li  0.5129  0.3997  0.8171
Li  0.5129  0.6132  0.6958
Li  0.5826  0.1829  0.1958
Li  0.5826  0.8997  0.3868
Li  0.6003  0.1829  0.4871
Li  0.6003  0.9174  0.1132
Li  0.6132  0.4174  0.1003
Li  0.6132  0.6958  0.5129
Li  0.6829  0.0826  0.6958
Li  0.6829  0.1003  0.9871
Li  0.6958  0.5129  0.6132
Li  0.6958  0.6829  0.0826
Li  0.8042  0.4174  0.8171
Li  0.8042  0.8868  0.9871
Li  0.8171  0.5129  0.3997
Li  0.8171  0.8042  0.4174
Li  0.8868  0.3997  0.0826
Li  0.8868  0.9871  0.8042
Li  0.8997  0.0129  0.3171
Li  0.8997  0.3868  0.5826
Li  0.9174  0.1132  0.6003
Li  0.9174  0.3042  0.3171
Li  0.9871  0.6829  0.1003
Li  0.9871  0.8042  0.8868
Au  0.1250  0.2500  0.3750
Au  0.1250  0.3750  0.7500
Au  0.2500  0.3750  0.1250
Au  0.2500  0.8750  0.6250
Au  0.3750  0.1250  0.2500
Au  0.3750  0.7500  0.1250
Au  0.6250  0.2500  0.8750
Au  0.6250  0.8750  0.7500
Au  0.7500  0.1250  0.3750
Au  0.7500  0.6250  0.8750
Au  0.8750  0.6250  0.2500
Au  0.8750  0.7500  0.6250
F  0.0000  0.0000  0.0000
F  0.0000  0.0000  0.5000
F  0.0000  0.5000  0.0000
F  0.0000  0.5000  0.5000
F  0.1250  0.7500  0.8750
F  0.1250  0.8750  0.2500
F  0.2500  0.1250  0.8750
F  0.2500  0.6250  0.3750
F  0.3750  0.2500  0.6250
F  0.3750  0.6250  0.7500
F  0.5000  0.0000  0.0000
F  0.5000  0.0000  0.5000
F  0.5000  0.5000  0.0000
F  0.5000  0.5000  0.5000
F  0.6250  0.3750  0.2500
F  0.6250  0.7500  0.3750
F  0.7500  0.3750  0.6250
F  0.7500  0.8750  0.1250
F  0.8750  0.1250  0.7500
F  0.8750  0.2500  0.1250

## Properties
**Space-group type**: Ia-3d (230)
**Raw formation energy**: -1.4813 eV/atom
**Size of the total moment**: 1.31 μB per formula unit
**Fermi-level density of states**: 6.3 states/eV/f.u.

=====

Entry 6:
CsSr3N after structural relaxation, computed with PBE-GGA.

Unit cell a=6.1507 b=6.1507 c=6.1507 alpha=90.00 beta=90.00 gamma=90.00
Sites, in units of the cell vectors:
Cs  0.0000  0.0000  0.0000
Sr  0.0000  0.0000  0.5000
Sr  0.0000  0.5000  0.0000
Sr  0.5000  0.0000  0.0000
N  0.5000  0.5000  0.5000

## Properties
**Space-group type**: Pm-3m (221)
**Raw formation energy**: 2.0566 eV/atom
**Size of the total moment**: 1.80 μB per formula unit
**Fermi-level density of states**: 9.0 states/eV/f.u.

=====

Entry 7:
MgTcN2F after structural relaxation, computed with PBE-GGA.

Unit cell a=4.0545 b=4.0545 c=3.5799 alpha=90.00 beta=90.00 gamma=90.00
Sites, in units of the cell vectors:
Mg  0.0000  0.0000  0.0000
Tc  0.5000  0.5000  0.5000
N  0.0000  0.5000  0.0000
N  0.5000  0.0000  0.0000
F  0.0000  0.0000  0.5000

## Properties
**Space-group type**: P4/mmm (123)
**Raw formation energy**: 0.5738 eV/atom
**Size of the total moment**: 2.00 μB per formula unit
**Fermi-level density of states**: 2.1 states/eV/f.u.

=====

Entry 8:
PRuCl after structural relaxation, computed with PBE-GGA.

Unit cell a=6.3947 b=6.3058 c=2.9871 alpha=78.06 beta=74.75 gamma=27.19
Sites, in units of the cell vectors:
P  0.0000  0.0000  0.0000
Ru  0.3968  0.3968  0.6032
Cl  0.7461  0.7461  0.2539

## Properties
**Space-group type**: Fmm2 (42)
**Raw formation energy**: 0.0473 eV/atom
**Size of the total moment**: 0.00 μB per formula unit
**Fermi-level density of states**: 1.6 states/eV/f.u.

=====

Entry 9:
Pr3Zn7Pt4 after structural relaxation, computed with PBE-GGA.

Unit cell a=8.1871 b=8.1871 c=9.4040 alpha=122.98 beta=122.98 gamma=31.29
Sites, in units of the cell vectors:
Pr  0.0000  0.0000  0.0000
Pr  0.2998  0.2998  0.2942
Pr  0.7002  0.7002  0.7058
Zn  0.0000  0.0000  0.5000
Zn  0.1441  0.1441  0.4209
Zn  0.3267  0.3267  0.9815
Zn  0.4978  0.4978  0.6992
Zn  0.5022  0.5022  0.3008
Zn  0.6733  0.6733  0.0185
Zn  0.8559  0.8559  0.5791
Pt  0.1177  0.1177  0.8329
Pt  0.3398  0.3398  0.7151
Pt  0.6602  0.6602  0.2849
Pt  0.8823  0.8823  0.1671

## Properties
**Space-group type**: C2/m (12)
**Size of the total moment**: 0.00 μB per formula unit
**Fermi-level density of states**: 7.9 states/eV/f.u.
**E_form**: -702 meV per atom

=====

Entry 10:
Si3Rh after structural relaxation, computed with PBE-GGA.

Unit cell a=6.2924 b=6.2924 c=6.2924 alpha=154.33 beta=143.95 gamma=44.78
Sites, in units of the cell vectors:
Si  0.0000  0.0000  0.0000
Si  0.2906  0.2906  0.0000
Si  0.7094  0.7094  0.0000
Rh  0.5000  0.5000  0.0000

## Properties
**Space-group type**: Immm (71)
**Raw formation energy**: -0.1073 eV/atom
**Size of the total moment**: 0.00 μB per formula unit
**Fermi-level density of states**: 1.6 states/eV/f.u.

=====

Entry 11:
Hf6SiN3 after structural relaxation, computed with PBE-GGA.

Unit cell a=9.9902 b=3.2101 c=10.0335 alpha=90.00 beta=109.67 gamma=90.00
Sites, in units of the cell vectors:
Hf  0.0416  0.2500  0.3627
Hf  0.1503  0.7500  0.1242
Hf  0.2521  0.2500  0.6683
Hf  0.3434  0.7500  0.4464
Hf  0.3573  0.7500  0.9491
Hf  0.4497  0.2500  0.2354
Hf  0.5503  0.7500  0.7646
Hf  0.6427  0.2500  0.0509
Hf  0.6566  0.2500  0.5536
Hf  0.7479  0.7500  0.3317
Hf  0.8497  0.2500  0.8758
Hf  0.9584  0.7500  0.6373
Si  0.1175  0.2500  0.8770
Si  0.8825  0.7500  0.1230
N  0.1399  0.7500  0.5169
N  0.2334  0.2500  0.2840
N  0.4525  0.2500  0.8564
N  0.5475  0.7500  0.1436
N  0.7666  0.7500  0.7160
N  0.8601  0.2500  0.4831

## Properties
**Space-group type**: P2_1/m (11)
**Raw formation energy**: -1.2085 eV/atom
**Size of the total moment**: 0.00 μB per formula unit
**Fermi-level density of states**: 5.1 states/eV/f.u.